Entry 1:
DFT (PBE-GGA) results for a relaxed structure of Cu2AsPb.

Cell lengths 4.4188, 4.4188, 3.7692 Å; angles 90.00, 90.00, 89.92 degrees
Positions (direct):
Cu  0.5000  0.5000  0.0000
Cu  0.0000  0.0000  0.0000
Pb  0.5000  0.0000  0.5000
As  0.0000  0.5000  0.5000

- DFT formation energy (eV/f.u.) = 1.2
- space group = Cmmm

***

Entry 2:
DFT (PBE-GGA) results for a relaxed structure of Cu2AsPb.

Cell lengths 3.9026, 3.3391, 6.1511 Å; angles 73.24, 90.00, 90.00 degrees
Positions (direct):
Cu  0.5000  0.0767  0.2163
Cu  0.0000  0.2261  0.9372
As  0.5000  0.7476  0.8970
Pb  0.0000  0.4496  0.4495

- DFT formation energy (eV/f.u.) = 0.6
- space group = Pm

***

Entry 3:
DFT (PBE-GGA) results for a relaxed structure of Cu2AsPb.

Cell lengths 5.4947, 5.4947, 5.4947 Å; angles 137.92, 137.92, 61.03 degrees
Positions (direct):
As  0.7500  0.2500  0.5000
Cu  0.2500  0.7500  0.5000
Cu  0.0000  0.0000  0.0000
Pb  0.5000  0.5000  0.0000

- DFT formation energy (eV/f.u.) = 1.3
- space group = I-4m2

***

Entry 4:
DFT (PBE-GGA) results for a relaxed structure of Cu2AsPb.

Cell lengths 3.3645, 3.3645, 6.5362 Å; angles 90.00, 90.00, 89.01 degrees
Positions (direct):
As  0.5000  0.5000  0.7500
Cu  0.0000  0.0000  0.9424
Cu  0.0000  0.0000  0.5576
Pb  0.5000  0.5000  0.2500

- DFT formation energy (eV/f.u.) = 1.0
- space group = Cmmm